# 1
CdGe3Au3 | PBE | optimized geometry

Cell: 7.2235 7.2235 7.2235 Å, 90.00 90.00 90.00°
Space group Pm-3n (No. 223)
Symmetry-distinct sites (fractional):
Cd  0.0000  0.0000  0.0000
Ge  0.0000  0.2500  0.5000
Au  0.0000  0.5000  0.2500

## Properties
Total magnetic moment   0.00 μB per atom
D(E_F)   4.8 states/eV/f.u.

# 2
Pm3Al4Cu | PBE | optimized geometry

Cell: 5.6631 11.0731 5.9697 Å, 90.00 90.00 90.00°
Space group Pmmn (No. 59, origin choice 2)
Symmetry-distinct sites (fractional):
Pm  0.2500  0.0043  0.1778
Pm  0.2500  0.7500  0.5561
Al  0.0069  0.7500  0.0362
Al  0.2500  0.1132  0.6643
Cu  0.2500  0.2500  0.3216

## Properties
Total magnetic moment   0.00 μB per atom
D(E_F)   5.8 states/eV/f.u.

# 3
UGe2IrRh | PBE | optimized geometry

Cell: 3.8265 12.7198 7.9897 Å, 90.00 90.00 90.00°
Space group Cmcm (No. 63)
Symmetry-distinct sites (fractional):
U  0.0000  0.0110  0.2500
Ge  0.0000  0.3093  0.5611
Ir  0.0000  0.5000  0.0000
Rh  0.0000  0.2507  0.2500

## Properties
Total magnetic moment   0.37 μB per atom
D(E_F)   7.8 states/eV/f.u.

# 4
BaGaAg2 | PBE | optimized geometry

Cell: 4.6555 4.6555 17.4331 Å, 90.00 90.00 120.00°
Space group R-3m (No. 166, hexagonal axes)
Symmetry-distinct sites (fractional):
Ba  0.0000  0.0000  0.0000
Ga  0.0000  0.0000  0.5000
Ag  0.0000  0.0000  0.1974

## Properties
Total magnetic moment   0.00 μB per atom
D(E_F)   2.9 states/eV/f.u.

no.,formation enthalpy at 0 K (eV per formula unit)
1,2.044
2,-2.870
3,-1.811
4,-0.961